DFT (SCAN) results for a crystal of TiHO2F relaxed with PBEsol.

Computed properties:
Total DFT energy (no corrections): -41.610 eV/cell
V: 34.70 Å³/cell

Cell lengths 3.434, 3.434, 2.943 Å; angles 90.00, 90.00, 90.00 degrees
Space group P4/mmm (No. 123)
Asymmetric unit:
Ti: 0.000 0.000 0.000
H: 0.500 0.500 0.500
O: 0.000 0.500 0.500
F: 0.500 0.500 0.000



DFT (SCAN) results for a crystal of TlHO2F relaxed with PBEsol.

Computed properties:
Total DFT energy (no corrections): -89.946 eV/cell
V: 79.76 Å³/cell

Cell lengths 4.232, 4.232, 4.454 Å; angles 90.00, 90.00, 90.00 degrees
Space group P4/mmm (No. 123)
Asymmetric unit:
Tl: 0.000 0.000 0.000
H: 0.500 0.500 0.500
O: 0.000 0.500 0.000
F: 0.000 0.000 0.500



DFT (SCAN) results for a crystal of VH6O3F3 relaxed with PBEsol.

Computed properties:
Total DFT energy (no corrections): -270.635 eV/cell
V: 361.62 Å³/cell

Cell lengths 7.0839, 7.0839, 8.3209 Å; angles 90.00, 90.00, 120.00 degrees
Space group R3m (No. 160, hexagonal axes)
Asymmetric unit:
V: 0.0000 0.0000 0.0000
H: 0.0154 0.3892 0.1724
O: 0.2006 0.4013 0.5336
F: 0.0736 0.5368 0.8029



DFT (SCAN) results for a crystal of PH3F relaxed with PBEsol.

Computed properties:
Total DFT energy (no corrections): -24.641 eV/cell
V: 34.20 Å³/cell

Cell lengths 3.246, 3.246, 3.246 Å; angles 90.00, 90.00, 90.00 degrees
Space group Pm-3m (No. 221)
Asymmetric unit:
P: 0.000 0.000 0.000
H: 0.000 0.000 0.500
F: 0.500 0.500 0.500



DFT (SCAN) results for a crystal of PH2F3 relaxed with PBEsol.

Computed properties:
Total DFT energy (no corrections): -151.990 eV/cell
V: 274.54 Å³/cell

Cell lengths 5.690, 8.028, 6.011 Å; angles 90.00, 90.00, 90.00 degrees
Space group Cmc2_1 (No. 36)
Asymmetric unit:
P: 0.000 0.188 0.000
H: 0.222 0.116 0.029
F: 0.000 0.126 0.736
F: 0.000 0.249 0.262
F: 0.000 0.375 0.920



DFT (SCAN) results for a crystal of PHF4 relaxed with PBEsol.

Computed properties:
Total DFT energy (no corrections): -164.966 eV/cell
V: 311.38 Å³/cell

Cell lengths 4.484, 8.662, 8.097 Å; angles 90.00, 98.08, 90.00 degrees
Space group P2_1/c (No. 14)
Asymmetric unit:
P: 0.086 0.155 0.226
H: 0.167 0.601 0.380
F: 0.134 0.722 0.147
F: 0.222 0.180 0.712
F: 0.257 0.055 0.369
F: 0.303 0.089 0.097



DFT (SCAN) results for a crystal of PHSF2 relaxed with PBEsol.

Computed properties:
Total DFT energy (no corrections): -150.846 eV/cell
V: 337.41 Å³/cell

Cell lengths 9.332, 4.360, 8.384 Å; angles 90.00, 98.44, 90.00 degrees
Space group P2_1/c (No. 14)
Asymmetric unit:
P: 0.243 0.036 0.419
H: 0.284 0.686 0.039
S: 0.387 0.233 0.835
F: 0.127 0.228 0.495
F: 0.136 0.651 0.792



DFT (SCAN) results for a crystal of TaPHF2 relaxed with PBEsol.

Computed properties:
Total DFT energy (no corrections): -92.257 eV/cell
V: 76.42 Å³/cell

Cell lengths 3.962, 3.962, 4.869 Å; angles 90.00, 90.00, 90.00 degrees
Space group P4/mmm (No. 123)
Asymmetric unit:
Ta: 0.000 0.000 0.000
P: 0.000 0.000 0.500
H: 0.500 0.500 0.500
F: 0.000 0.500 0.000